1.
! YMg2W, relaxed, DFT PBE; values from VASP
! Formation energy from the elements in eV/f.u.: 3.543
&SYSTEM
  ibrav = 0, nat = 8, ntyp = 3
/
ATOMIC_SPECIES
Y 88.91 Y.upf
Mg 24.30 Mg.upf
W 183.84 W.upf
ATOMIC_POSITIONS crystal
Y 0.000 0.000 0.000
Y 0.750 0.250 0.500
Mg 0.155 0.625 0.030
Mg 0.375 0.405 0.530
Mg 0.595 0.125 0.970
Mg 0.875 0.845 0.470
W 0.250 0.750 0.500
W 0.500 0.500 0.000
CELL_PARAMETERS angstrom
-2.085 2.085 10.757
2.085 -2.085 10.757
2.085 2.085 -10.757



2.
! MgPa2CdRh4, relaxed, DFT PBE; values from VASP
! Formation energy from the elements in eV/f.u.: -4.789
&SYSTEM
  ibrav = 0, nat = 8, ntyp = 4
/
ATOMIC_SPECIES
Mg 24.30 Mg.upf
Pa 231.04 Pa.upf
Cd 112.41 Cd.upf
Rh 102.91 Rh.upf
ATOMIC_POSITIONS crystal
Mg 0.000 0.000 0.000
Pa 0.249 0.249 0.249
Pa 0.751 0.751 0.751
Cd 0.500 0.500 0.500
Rh 0.118 0.118 0.118
Rh 0.373 0.373 0.373
Rh 0.627 0.627 0.627
Rh 0.882 0.882 0.882
CELL_PARAMETERS angstrom
2.354 1.359 7.788
-2.354 1.359 7.788
0.000 -2.718 7.788